This record from Alexandria describes a relaxed structure of Cr2BO4. The functional is PBE with a Hubbard U.

```
Cr2BO4
1.0
3.113 0.000 0.000
0.000 9.575 0.000
0.000 0.000 9.815
O Cr B
16 8 4
Direct
0.250 0.964 0.361
0.750 0.753 0.978
0.750 0.249 0.770
0.250 0.004 0.891
0.750 0.496 0.391
0.250 0.747 0.478
0.250 0.751 0.230
0.750 0.036 0.639
0.250 0.247 0.022
0.750 0.536 0.861
0.750 0.253 0.522
0.250 0.504 0.609
0.750 0.749 0.730
0.250 0.251 0.270
0.750 0.996 0.109
0.250 0.464 0.139
0.750 0.098 0.314
0.250 0.878 0.051
0.250 0.378 0.449
0.750 0.622 0.551
0.250 0.402 0.814
0.750 0.598 0.186
0.750 0.122 0.949
0.250 0.902 0.686
0.250 0.822 0.356
0.750 0.678 0.856
0.750 0.178 0.644
0.250 0.322 0.144
```

Properties
Total energy (eV per formula unit): -55.81
Spin magnetization (μB per formula unit): 7.0